[1]
A relaxed structure of TbPmZn2, computed with PBE-GGA. Values from VASP.

Properties
Its electronic total energy is -13.2 eV/cell. The calculation puts the size of the total moment at 0.00 μB per formula unit. The calculated density is 7.61 g/cm³. Its formation energy is -31.4 kJ per mole of atoms.

Quantum ESPRESSO input file:
```
&SYSTEM
  ibrav = 0, nat = 4, ntyp = 3
/
ATOMIC_SPECIES
Tb 158.93 Tb.upf
Pm 145.00 Pm.upf
Zn 65.41 Zn.upf
CELL_PARAMETERS angstrom
5.1047 0.0000 0.0000
0.0000 5.1047 0.0000
0.0000 0.0000 3.6388
ATOMIC_POSITIONS crystal
Tb 0.0000 0.0000 0.0000
Pm 0.5000 0.5000 0.0000
Zn 0.0000 0.5000 0.5000
Zn 0.5000 0.0000 0.5000
```

[2]
A relaxed structure of HRhS2, computed with PBE-GGA. Values from VASP.

Properties
Its electronic total energy is -79.0 eV/cell. The calculation puts the size of the total moment at 0.00 μB per formula unit. The calculated density is 3.97 g/cm³.

Quantum ESPRESSO input file:
```
&SYSTEM
  ibrav = 0, nat = 16, ntyp = 3
/
ATOMIC_SPECIES
H 1.01 H.upf
Rh 102.91 Rh.upf
S 32.06 S.upf
CELL_PARAMETERS angstrom
7.3179 0.0000 0.0000
0.0000 3.4839 0.0000
0.0000 0.0000 11.0256
ATOMIC_POSITIONS crystal
H 0.0539 0.2500 0.1496
H 0.4461 0.7500 0.6496
H 0.5539 0.2500 0.3504
H 0.9461 0.7500 0.8504
Rh 0.0718 0.7500 0.3725
Rh 0.4282 0.2500 0.8725
Rh 0.5718 0.7500 0.1275
Rh 0.9282 0.2500 0.6275
S 0.0593 0.7500 0.7527
S 0.1758 0.2500 0.4963
S 0.3242 0.7500 0.9963
S 0.4407 0.2500 0.2527
S 0.5593 0.7500 0.7473
S 0.6758 0.2500 0.0037
S 0.8242 0.7500 0.5037
S 0.9407 0.2500 0.2473
```

[3]
A relaxed structure of Na8Tl3Au, computed with PBE-GGA. Values from VASP.

Properties
Its electronic total energy is -21.2 eV/cell. The calculation puts the size of the total moment at 0.00 μB per formula unit. The calculated density is 4.05 g/cm³. Its formation energy is -2.2 kJ per mole of atoms.

Quantum ESPRESSO input file:
```
&SYSTEM
  ibrav = 0, nat = 12, ntyp = 3
/
ATOMIC_SPECIES
Na 22.99 Na.upf
Tl 204.38 Tl.upf
Au 196.97 Au.upf
CELL_PARAMETERS angstrom
0.0000 5.2378 7.4782
5.2016 0.0000 7.4782
5.2016 5.2378 0.0000
ATOMIC_POSITIONS crystal
Na 0.9999 0.4773 0.0001
Na 0.2383 0.7603 0.7617
Na 0.2391 0.7609 0.2391
Na 0.4760 0.9980 0.0020
Na 0.4773 0.9999 0.5227
Na 0.7603 0.2383 0.2397
Na 0.7609 0.2391 0.7609
Na 0.9980 0.4760 0.5240
Tl 0.3687 0.3687 0.1313
Tl 0.6190 0.6190 0.3810
Tl 0.8687 0.8687 0.6313
Au 0.1186 0.1186 0.8814
```

[4]
A relaxed structure of Rb2TlOsCl8, computed with PBE-GGA. Values from VASP.

Properties
Its electronic total energy is -42.3 eV/cell. The calculation puts the size of the total moment at 2.59 μB per formula unit. The uncorrected formation energy comes out at -1.00 eV/atom. The calculated density is 3.22 g/cm³.

Quantum ESPRESSO input file:
```
&SYSTEM
  ibrav = 0, nat = 12, ntyp = 4
/
ATOMIC_SPECIES
Rb 85.47 Rb.upf
Tl 204.38 Tl.upf
Os 190.23 Os.upf
Cl 35.45 Cl.upf
CELL_PARAMETERS angstrom
6.6348 0.0000 0.0000
0.2038 7.0922 0.0000
0.0512 0.0334 9.3206
ATOMIC_POSITIONS crystal
Rb 0.0075 0.4989 0.2386
Rb 0.9925 0.5011 0.7614
Tl 0.5000 0.0000 0.5000
Os 0.5000 0.0000 0.0000
Cl 0.2224 0.3117 0.5030
Cl 0.2811 0.9019 0.1809
Cl 0.2850 0.8933 0.8221
Cl 0.3355 0.2944 0.9948
Cl 0.6645 0.7056 0.0052
Cl 0.7150 0.1067 0.1779
Cl 0.7189 0.0981 0.8191
Cl 0.7776 0.6883 0.4970
```

[5]
A relaxed structure of Rb2BiSbS4, computed with PBE-GGA. Values from VASP.

Properties
Its electronic total energy is -62.2 eV/cell. The calculation puts the size of the total moment at 0.00 μB per formula unit. The uncorrected formation energy comes out at -0.58 eV/atom. The calculated density is 3.52 g/cm³.

Quantum ESPRESSO input file:
```
&SYSTEM
  ibrav = 0, nat = 16, ntyp = 4
/
ATOMIC_SPECIES
Rb 85.47 Rb.upf
Bi 208.98 Bi.upf
Sb 121.76 Sb.upf
S 32.06 S.upf
CELL_PARAMETERS angstrom
7.6699 0.0000 0.0000
0.0000 7.6699 0.0000
0.0000 0.0000 10.1071
ATOMIC_POSITIONS crystal
Rb 0.0000 0.0000 0.0000
Rb 0.0000 0.5000 0.2500
Rb 0.5000 0.0000 0.7500
Rb 0.5000 0.5000 0.5000
Bi 0.0000 0.5000 0.7500
Bi 0.5000 0.0000 0.2500
Sb 0.0000 0.0000 0.5000
Sb 0.5000 0.5000 0.0000
S 0.1789 0.7516 0.6192
S 0.2484 0.1789 0.3808
S 0.2516 0.3211 0.8808
S 0.3211 0.7484 0.1192
S 0.6789 0.2516 0.1192
S 0.7484 0.6789 0.8808
S 0.7516 0.8211 0.3808
S 0.8211 0.2484 0.6192
```

[6]
A relaxed structure of BaTaMn, computed with PBE-GGA. Values from VASP.

Properties
Its electronic total energy is -20.1 eV/cell. The calculation puts the size of the total moment at 0.65 μB per formula unit. The calculated density is 7.53 g/cm³. Its formation energy is 92.5 kJ per mole of atoms.

Quantum ESPRESSO input file:
```
&SYSTEM
  ibrav = 0, nat = 3, ntyp = 3
/
ATOMIC_SPECIES
Ba 137.33 Ba.upf
Ta 180.95 Ta.upf
Mn 54.94 Mn.upf
CELL_PARAMETERS angstrom
4.1230 0.0000 0.0000
-2.0615 3.5706 0.0000
0.0000 0.0000 5.5940
ATOMIC_POSITIONS crystal
Ba 0.0000 0.0000 0.0000
Ta 0.3333 0.6667 0.5000
Mn 0.6667 0.3333 0.5000
```